Computed, not measured: Pu4Ge3Ir after structural relaxation at the GGA-PBE level of DFT.

Results
- spin magnetization (Bohr magnetons per cell) = 22.370
- SG = Pmm2, No. 25
- total energy (eV per atom) = -10.456

Cell lengths 4.2433, 4.0908, 10.5479 Å; angles 90.00, 90.00, 90.00 degrees
Last column: magnetic moment on the atom in μB.
Atoms (fractional coordinates):
Pu1 0.0000 0.5000 0.8654  5.31
Ge1 0.5000 0.0000 0.9273  -0.07
Ge2 0.0000 0.0000 0.4213  -0.03
Ge3 0.0000 0.5000 0.5766  -0.03
Ir1 0.5000 0.5000 0.0822  -0.30
Pu2 0.0000 0.0000 0.1362  5.16
Pu3 0.5000 0.5000 0.3479  5.27
Pu4 0.5000 0.0000 0.6431  5.38

Computed, not measured: Sr2Al2Br after structural relaxation at the GGA-PBE level of DFT.

Results
- formation energy without anion corrections (eV/f.u.) = -4.11
- spin magnetization (Bohr magnetons per cell) = 0.000
- SG = R-3m, No. 166
- total energy (eV per atom) = -3.326

Cell lengths 4.5112, 4.5112, 9.1167 Å; angles 90.00, 104.32, 120.00 degrees
Atoms (fractional coordinates):
Sr1 0.1679 0.5840 0.7519
Al1 0.6603 0.8302 0.4905
Sr2 0.8321 0.4160 0.2481
Al2 0.3397 0.1698 0.5095
Br1 0.0000 0.0000 0.0000

Computed, not measured: LiCuNi after structural relaxation at the GGA-PBE level of DFT.

Results
- energy above the lowest structure with this stoichiometry (eV per atom) = 0.0023
- spin magnetization (Bohr magnetons per cell) = 0.000
- SG = C2, No. 5
- total energy (eV per atom) = -3.975

Cell lengths 4.3723, 4.4520, 4.3709 Å; angles 79.85, 119.83, 79.91 degrees
Atoms (fractional coordinates):
Li1 0.8411 0.3420 0.4899
Cu1 0.5101 0.3419 0.8208
Cu2 0.3384 0.8420 0.9918
Ni1 0.6645 0.8419 0.6659
Li2 0.1738 0.3419 0.1575
Ni2 0.0038 0.8419 0.3268

Computed, not measured: LiTe after structural relaxation at the GGA-PBE level of DFT.

Results
- energy above the lowest structure with this stoichiometry (eV per atom) = 0.0359
- formation energy without anion corrections (eV/f.u.) = -1.37
- spin magnetization (Bohr magnetons per cell) = 0.000
- SG = C2/m, No. 12
- total energy (eV per atom) = -3.214

Cell lengths 7.5863, 8.2301, 3.1108 Å; angles 79.11, 78.17, 33.26 degrees
Atoms (fractional coordinates):
Te1 0.4041 0.6026 0.4967
Li1 0.8199 0.0684 0.0559
Te2 0.5126 0.9808 0.2533
Li2 0.0968 0.5150 0.6941

What is the spin magnetization in the third record?
0.000 Bohr magnetons per cell

Copy entry 3 word for word.
Computed, not measured: LiCuNi after structural relaxation at the GGA-PBE level of DFT.

Results
- energy above the lowest structure with this stoichiometry (eV per atom) = 0.0023
- spin magnetization (Bohr magnetons per cell) = 0.000
- SG = C2, No. 5
- total energy (eV per atom) = -3.975

Cell lengths 4.3723, 4.4520, 4.3709 Å; angles 79.85, 119.83, 79.91 degrees
Atoms (fractional coordinates):
Li1 0.8411 0.3420 0.4899
Cu1 0.5101 0.3419 0.8208
Cu2 0.3384 0.8420 0.9918
Ni1 0.6645 0.8419 0.6659
Li2 0.1738 0.3419 0.1575
Ni2 0.0038 0.8419 0.3268